DFT (PBE-GGA) results for YBeBr2 after structural relaxation.

```
YBeBr2
1.0
4.646 0.000 0.000
0.000 4.646 0.000
0.000 0.000 8.417
Y Be Br
2 2 4
Cartesian
0.000 0.000 0.000
2.323 2.323 4.209
0.000 0.000 4.209
2.323 2.323 0.000
0.000 2.323 2.104
0.000 2.323 6.313
2.323 0.000 2.104
2.323 0.000 6.313
```

- E above lowest polymorph (meV per atom) = 417
- ΔE_f (raw) (eV/atom) = -0.28



DFT (PBE-GGA) results for YBeBr2 after structural relaxation.

```
YBeBr2
1.0
3.732 0.000 0.000
0.000 3.732 0.000
0.000 0.000 6.638
Y Be Br
1 1 2
Cartesian
0.000 0.000 0.000
0.000 0.000 3.319
1.866 1.866 1.574
1.866 1.866 5.064
```

- E above lowest polymorph (meV per atom) = 392
- ΔE_f (raw) (eV/atom) = -0.31



DFT (PBE-GGA) results for YBeBr after structural relaxation.

```
YBeBr
1.0
6.623 0.000 0.000
0.000 6.623 0.000
0.000 0.000 6.623
Y Be Br
4 4 4
Cartesian
0.000 0.000 0.000
0.000 3.312 3.312
3.312 0.000 3.312
3.312 3.312 0.000
1.656 1.656 4.967
1.656 4.967 1.656
4.967 1.656 1.656
4.967 4.967 4.967
0.000 0.000 3.312
0.000 3.312 0.000
3.312 0.000 0.000
3.312 3.312 3.312
```

- E above lowest polymorph (meV per atom) = 1264
- ΔE_f (raw) (eV/atom) = 0.37



DFT (PBE-GGA) results for Y2BeBr after structural relaxation.

```
Y2BeBr
1.0
7.423 0.000 0.000
0.000 7.563 0.000
-0.694 0.000 3.306
Y Be Br
4 2 2
Cartesian
1.856 1.891 0.000
1.856 5.672 0.000
5.567 1.891 0.000
5.567 5.672 0.000
-0.347 0.000 1.653
3.365 3.781 1.653
-0.347 3.781 1.653
3.365 0.000 1.653
```

- E above lowest polymorph (meV per atom) = 286
- ΔE_f (raw) (eV/atom) = -0.22



DFT (PBE-GGA) results for YBe3Br after structural relaxation.

```
YBe3Br
1.0
4.538 0.000 0.000
0.000 4.538 0.000
0.000 0.000 4.538
Y Be Br
1 3 1
Cartesian
0.000 0.000 0.000
0.000 2.269 2.269
2.269 0.000 2.269
2.269 2.269 0.000
2.269 2.269 2.269
```

- E above lowest polymorph (meV per atom) = 0
- ΔE_f (raw) (eV/atom) = 1.08



DFT (PBE-GGA) results for Y4BeBr5 after structural relaxation.

```
Y4BeBr5
1.0
9.100 -1.949 0.000
9.100 1.949 0.000
-1.858 0.000 8.237
Y Be Br
4 1 5
Cartesian
17.786 0.000 1.824
-1.444 0.000 6.413
4.706 0.000 7.594
11.637 0.000 0.643
9.100 0.000 0.000
2.404 0.000 2.772
1.629 0.000 6.884
8.171 0.000 4.119
14.713 0.000 1.353
13.938 0.000 5.465
```

- ΔE_f (raw) (eV/atom) = -1.28



What is the formula in the fourth record? Y2BeBr



What is the formula in the second record? YBeBr2



Look up the ΔE_f (raw) of the third one. 0.37 eV/atom